Entry 1:
CrC2 | meta-GGA SCAN | PBEsol geometry

a = 4.343 Å, b = 4.343 Å, c = 4.367 Å
α = 94.98°, β = 94.98°, γ = 104.20°
Sites, in units of the cell vectors:
Cr  0.000  0.000  0.000
Cr  0.253  0.747  0.500
Cr  0.747  0.253  0.500
C  0.173  0.386  0.745
C  0.243  0.243  0.426
C  0.386  0.173  0.745
C  0.614  0.827  0.255
C  0.757  0.757  0.574
C  0.827  0.614  0.255

DFT total energy	-107.007	eV/cell
volume	8.783	A^3/atom
polymorph energy (0 for the lowest one)	0.2917	eV per atom
density of states at the Fermi level	3.0	states/eV/cell
size of the total moment	0.6	μB per formula unit

Entry 2:
Mg2ScBr | meta-GGA SCAN | PBEsol geometry

a = 8.209 Å, b = 8.209 Å, c = 5.727 Å
α = 90.00°, β = 90.00°, γ = 90.00°
Sites, in units of the cell vectors:
Mg  0.220  0.250  0.125
Mg  0.250  0.720  0.375
Mg  0.250  0.780  0.875
Mg  0.280  0.250  0.625
Mg  0.720  0.750  0.625
Mg  0.750  0.220  0.875
Mg  0.750  0.280  0.375
Mg  0.780  0.750  0.125
Sc  0.000  0.000  0.500
Sc  0.000  0.500  0.750
Sc  0.500  0.000  0.250
Sc  0.500  0.500  0.000
Br  0.000  0.000  0.000
Br  0.000  0.500  0.250
Br  0.500  0.000  0.750
Br  0.500  0.500  0.500

DFT total energy	-175.748	eV/cell
volume	24.118	A^3/atom
polymorph energy (0 for the lowest one)	0.3444	eV per atom
density of states at the Fermi level	14.0	states/eV/cell
size of the total moment	0.0	μB per formula unit
energy relative to the elements, uncorrected	-7.1	kJ/mol of atoms

Entry 3:
ZrAl2Te | meta-GGA SCAN | PBEsol geometry

a = 6.894 Å, b = 6.894 Å, c = 6.894 Å
α = 90.00°, β = 90.00°, γ = 90.00°
Sites, in units of the cell vectors:
Zr  0.000  0.000  0.000
Zr  0.000  0.500  0.500
Zr  0.500  0.000  0.500
Zr  0.500  0.500  0.000
Al  0.000  0.000  0.500
Al  0.000  0.500  0.000
Al  0.250  0.250  0.750
Al  0.250  0.750  0.250
Al  0.500  0.000  0.000
Al  0.500  0.500  0.500
Al  0.750  0.250  0.250
Al  0.750  0.750  0.750
Te  0.250  0.250  0.250
Te  0.250  0.750  0.750
Te  0.750  0.250  0.750
Te  0.750  0.750  0.250

DFT total energy	-332.901	eV/cell
volume	20.474	A^3/atom
density of states at the Fermi level	12.6	states/eV/cell
size of the total moment	0.4	μB per formula unit
energy relative to the elements, uncorrected	5.5	kJ/mol of atoms

Entry 4:
Zr2BeNi | meta-GGA SCAN | PBEsol geometry

a = 3.244 Å, b = 3.892 Å, c = 5.266 Å
α = 90.00°, β = 107.68°, γ = 90.00°
Sites, in units of the cell vectors:
Zr  0.000  0.000  0.000
Zr  0.291  0.500  0.585
Be  0.576  0.500  0.150
Ni  0.708  0.000  0.418

DFT total energy	-83.103	eV/cell
volume	15.838	A^3/atom
density of states at the Fermi level	3.5	states/eV/cell
size of the total moment	0.0	μB per formula unit

Entry 5:
CdICl2 | meta-GGA SCAN | PBEsol geometry

a = 8.192 Å, b = 8.192 Å, c = 6.610 Å
α = 90.00°, β = 90.00°, γ = 90.00°
Sites, in units of the cell vectors:
Cd  0.000  0.000  0.000
Cd  0.000  0.500  0.250
Cd  0.500  0.000  0.750
Cd  0.500  0.500  0.500
I  0.000  0.000  0.500
I  0.000  0.500  0.750
I  0.500  0.000  0.250
I  0.500  0.500  0.000
Cl  0.154  0.750  0.125
Cl  0.250  0.154  0.875
Cl  0.250  0.346  0.375
Cl  0.346  0.750  0.625
Cl  0.654  0.250  0.625
Cl  0.750  0.654  0.375
Cl  0.750  0.846  0.875
Cl  0.846  0.250  0.125

DFT total energy	-341.195	eV/cell
volume	27.726	A^3/atom
density of states at the Fermi level	10.7	states/eV/cell
size of the total moment	1.0	μB per formula unit
energy relative to the elements, uncorrected	-52.8	kJ/mol of atoms

Entry 6:
KTl3 | meta-GGA SCAN | PBEsol geometry

a = 7.003 Å, b = 16.425 Å, c = 6.363 Å
α = 90.00°, β = 90.00°, γ = 90.00°
Sites, in units of the cell vectors:
K  0.250  0.101  0.187
K  0.250  0.399  0.187
K  0.250  0.750  0.550
K  0.750  0.250  0.450
K  0.750  0.601  0.813
K  0.750  0.899  0.813
Tl  0.004  0.579  0.327
Tl  0.004  0.921  0.327
Tl  0.027  0.750  0.042
Tl  0.250  0.250  0.569
Tl  0.250  0.574  0.865
Tl  0.250  0.926  0.865
Tl  0.473  0.750  0.042
Tl  0.496  0.579  0.327
Tl  0.496  0.921  0.327
Tl  0.504  0.079  0.673
Tl  0.504  0.421  0.673
Tl  0.527  0.250  0.958
Tl  0.750  0.074  0.135
Tl  0.750  0.426  0.135
Tl  0.750  0.750  0.431
Tl  0.973  0.250  0.958
Tl  0.996  0.079  0.673
Tl  0.996  0.421  0.673

DFT total energy	-1355.110	eV/cell
volume	30.498	A^3/atom
density of states at the Fermi level	12.9	states/eV/cell
size of the total moment	0.0	μB per formula unit

Entry 7:
NbTcTe2N | meta-GGA SCAN | PBEsol geometry

a = 5.453 Å, b = 5.453 Å, c = 3.829 Å
α = 90.00°, β = 90.00°, γ = 90.00°
Sites, in units of the cell vectors:
Nb  0.000  0.000  0.000
Tc  0.500  0.500  0.500
Te  0.000  0.500  0.000
Te  0.500  0.000  0.000
N  0.000  0.000  0.500

DFT total energy	-148.665	eV/cell
volume	22.774	A^3/atom
density of states at the Fermi level	3.2	states/eV/cell
size of the total moment	4.0	μB per formula unit
energy relative to the elements, uncorrected	64.0	kJ/mol of atoms

Entry 8:
Na2CaMn3Si6O18 | meta-GGA SCAN | PBEsol geometry

a = 6.557 Å, b = 7.204 Å, c = 7.434 Å
α = 80.14°, β = 86.84°, γ = 88.06°
Sites, in units of the cell vectors:
Na  0.000  0.000  0.000
Na  0.262  0.464  0.172
Ca  0.505  0.134  0.434
Mn  0.504  0.650  0.431
Mn  0.766  0.781  0.738
Mn  0.801  0.322  0.719
Si  0.272  0.751  0.789
Si  0.306  0.320  0.811
Si  0.489  0.967  0.038
Si  0.781  0.466  0.127
Si  0.983  0.136  0.371
Si  0.993  0.694  0.377
O  0.051  0.828  0.724
O  0.079  0.257  0.772
O  0.199  0.217  0.384
O  0.216  0.615  0.436
O  0.276  0.527  0.870
O  0.312  0.836  0.976
O  0.383  0.183  0.000
O  0.472  0.801  0.643
O  0.501  0.327  0.663
O  0.528  0.906  0.252
O  0.575  0.477  0.257
O  0.692  0.954  0.903
O  0.759  0.502  0.905
O  0.800  0.630  0.528
O  0.819  0.154  0.541
O  0.875  0.249  0.181
O  0.943  0.615  0.186
O  0.984  0.923  0.320

DFT total energy	-327.677	eV/cell
volume	11.512	A^3/atom
density of states at the Fermi level	3.7	states/eV/cell
size of the total moment	13.0	μB per formula unit
energy relative to the elements, uncorrected	-265.5	kJ/mol of atoms

Entry 9:
As2IrCl | meta-GGA SCAN | PBEsol geometry

a = 3.804 Å, b = 3.804 Å, c = 21.365 Å
α = 90.00°, β = 90.00°, γ = 120.00°
Sites, in units of the cell vectors:
As  0.000  0.000  0.114
As  0.000  0.000  0.886
As  0.333  0.667  0.553
As  0.333  0.667  0.781
As  0.667  0.333  0.219
As  0.667  0.333  0.447
Ir  0.000  0.000  0.500
Ir  0.333  0.667  0.167
Ir  0.667  0.333  0.833
Cl  0.000  0.000  0.000
Cl  0.333  0.667  0.667
Cl  0.667  0.333  0.333

DFT total energy	-362.416	eV/cell
volume	22.312	A^3/atom
polymorph energy (0 for the lowest one)	0.0000	eV per atom
density of states at the Fermi level	6.3	states/eV/cell
size of the total moment	0.0	μB per formula unit
energy relative to the elements, uncorrected	-32.5	kJ/mol of atoms

Entry 10:
Te2MoRu | meta-GGA SCAN | PBEsol geometry

a = 3.148 Å, b = 3.148 Å, c = 29.476 Å
α = 90.00°, β = 90.00°, γ = 120.00°
Sites, in units of the cell vectors:
Te  0.000  0.000  0.000
Te  0.000  0.000  0.204
Te  0.333  0.667  0.667
Te  0.333  0.667  0.871
Te  0.667  0.333  0.333
Te  0.667  0.333  0.538
Mo  0.000  0.000  0.734
Mo  0.333  0.667  0.401
Mo  0.667  0.333  0.068
Ru  0.000  0.000  0.471
Ru  0.333  0.667  0.138
Ru  0.667  0.333  0.805

DFT total energy	-429.117	eV/cell
volume	21.082	A^3/atom
polymorph energy (0 for the lowest one)	0.0000	eV per atom
density of states at the Fermi level	8.7	states/eV/cell
size of the total moment	0.0	μB per formula unit
energy relative to the elements, uncorrected	28.3	kJ/mol of atoms

Entry 11:
BaS3Br | meta-GGA SCAN | PBEsol geometry

a = 4.960 Å, b = 4.960 Å, c = 4.960 Å
α = 90.00°, β = 90.00°, γ = 90.00°
Sites, in units of the cell vectors:
Ba  0.000  0.000  0.000
S  0.000  0.500  0.500
S  0.500  0.000  0.500
S  0.500  0.500  0.000
Br  0.500  0.500  0.500

DFT total energy	-89.900	eV/cell
volume	24.407	A^3/atom
density of states at the Fermi level	3.3	states/eV/cell
size of the total moment	0.0	μB per formula unit
energy relative to the elements, uncorrected	-38.7	kJ/mol of atoms